# 1
Crystalline YHf2N at its relaxed geometry. Source: the Alexandria database, functional PBE-GGA.

* raw formation energy: -2.5 eV/f.u.

a b c (Å): 8.997 8.997 8.997
angles (deg): 20.70 20.70 20.70
Fractional coordinates of all 4 atoms:
Y (0.000, 0.000, 0.000)
Hf (0.120, 0.120, 0.120)
Hf (0.880, 0.880, 0.880)
N (0.500, 0.500, 0.500)

---

# 2
Crystalline In5Bi2Cl12 at its relaxed geometry. Source: the Alexandria database, functional PBE-GGA.

* raw formation energy: -16.1 eV/f.u.

a b c (Å): 9.439 9.439 8.018
angles (deg): 112.36 112.36 63.95
Fractional coordinates of all 19 atoms:
In (0.000, 0.000, 0.000)
In (0.276, 0.276, 0.551)
In (0.341, 0.341, 0.006)
In (0.659, 0.659, 0.994)
In (0.724, 0.724, 0.449)
Bi (0.232, 0.768, 0.500)
Bi (0.768, 0.232, 0.500)
Cl (0.077, 0.697, 0.673)
Cl (0.091, 0.091, 0.709)
Cl (0.138, 0.504, 0.232)
Cl (0.303, 0.923, 0.327)
Cl (0.482, 0.482, 0.703)
Cl (0.496, 0.862, 0.768)
Cl (0.504, 0.138, 0.232)
Cl (0.518, 0.518, 0.297)
Cl (0.697, 0.077, 0.673)
Cl (0.862, 0.496, 0.768)
Cl (0.909, 0.909, 0.291)
Cl (0.923, 0.303, 0.327)

---

# 3
Crystalline CeTh2Cd at its relaxed geometry. Source: the Alexandria database, functional PBE-GGA.

* energy of formation: 11 kJ/mol of formula units
* excess energy over the best structure of this formula in the dataset: 0.029 eV/atom

a b c (Å): 3.427 3.427 9.995
angles (deg): 90.00 90.00 90.00
Fractional coordinates of all 4 atoms:
Ce (0.000, 0.000, 0.000)
Th (0.500, 0.500, 0.259)
Th (0.500, 0.500, 0.741)
Cd (0.000, 0.000, 0.500)

---

# 4
Crystalline Rb2LaTc2N6 at its relaxed geometry. Source: the Alexandria database, functional PBE-GGA.

* raw formation energy: -2.3 eV/f.u.

a b c (Å): 6.492 6.492 7.634
angles (deg): 117.53 117.53 59.48
Fractional coordinates of all 11 atoms:
Rb (0.213, 0.213, 0.182)
Rb (0.787, 0.787, 0.818)
La (0.000, 0.000, 0.500)
Tc (0.449, 0.449, 0.794)
Tc (0.551, 0.551, 0.206)
N (0.252, 0.715, 0.248)
N (0.264, 0.264, 0.677)
N (0.285, 0.748, 0.752)
N (0.715, 0.252, 0.248)
N (0.736, 0.736, 0.323)
N (0.748, 0.285, 0.752)

---

# 5
Crystalline TiBe2Al2 at its relaxed geometry. Source: the Alexandria database, functional PBE-GGA.

* energy of formation: 19 kJ/mol of formula units
* excess energy over the best structure of this formula in the dataset: 0.094 eV/atom

a b c (Å): 7.012 7.012 2.670
angles (deg): 90.00 90.00 90.00
Fractional coordinates of all 10 atoms:
Ti (0.000, 0.000, 0.000)
Ti (0.500, 0.500, 0.000)
Be (0.164, 0.336, 0.500)
Be (0.336, 0.836, 0.500)
Be (0.664, 0.164, 0.500)
Be (0.836, 0.664, 0.500)
Al (0.133, 0.633, 0.000)
Al (0.367, 0.133, 0.000)
Al (0.633, 0.867, 0.000)
Al (0.867, 0.367, 0.000)

---

# 6
Crystalline RbSn4Pt at its relaxed geometry. Source: the Alexandria database, functional PBE-GGA.

* energy of formation: -147 kJ/mol of formula units

a b c (Å): 10.123 10.123 5.653
angles (deg): 106.18 106.18 51.10
Fractional coordinates of all 12 atoms:
Rb (0.191, 0.191, 0.190)
Rb (0.809, 0.809, 0.810)
Sn (0.204, 0.590, 0.398)
Sn (0.222, 0.778, 0.000)
Sn (0.359, 0.359, 0.859)
Sn (0.410, 0.796, 0.602)
Sn (0.590, 0.204, 0.398)
Sn (0.641, 0.641, 0.141)
Sn (0.778, 0.222, 0.000)
Sn (0.796, 0.410, 0.602)
Pt (0.500, 0.500, 0.251)
Pt (0.500, 0.500, 0.749)

---

# 7
Crystalline OsPtAu2Se at its relaxed geometry. Source: the Alexandria database, functional PBE-GGA.

* raw formation energy: 7.1 eV/f.u.

a b c (Å): 5.035 5.035 4.782
angles (deg): 90.00 90.00 90.00
Fractional coordinates of all 5 atoms:
Os (0.000, 0.000, 0.000)
Pt (0.000, 0.000, 0.500)
Au (0.000, 0.500, 0.000)
Au (0.500, 0.000, 0.000)
Se (0.500, 0.500, 0.500)

---

# 8
Crystalline FeTcSb2 at its relaxed geometry. Source: the Alexandria database, functional PBE-GGA.

* raw formation energy: 1.3 eV/f.u.
* excess energy over the best structure of this formula in the dataset: 0.174 eV/atom

a b c (Å): 4.567 4.567 4.567
angles (deg): 60.00 60.00 60.00
Fractional coordinates of all 4 atoms:
Fe (0.000, 0.000, 0.000)
Tc (0.500, 0.500, 0.500)
Sb (0.250, 0.250, 0.250)
Sb (0.750, 0.750, 0.750)

---

# 9
Crystalline ErHI2 at its relaxed geometry. Source: the Alexandria database, functional PBE-GGA.

* final energy: -0.2880 Ry/atom

a b c (Å): 3.967 3.967 8.559
angles (deg): 102.77 102.77 59.99
Fractional coordinates of all 4 atoms:
Er (0.000, 0.000, 0.000)
H (0.667, 0.667, 0.000)
I (0.253, 0.253, 0.746)
I (0.414, 0.414, 0.254)

---

# 10
Crystalline CoSeBr2 at its relaxed geometry. Source: the Alexandria database, functional PBE-GGA.

* raw formation energy: 0.9 eV/f.u.

a b c (Å): 9.513 9.513 9.513
angles (deg): 20.65 20.65 20.65
Fractional coordinates of all 4 atoms:
Co (0.000, 0.000, 0.000)
Se (0.500, 0.500, 0.500)
Br (0.283, 0.283, 0.283)
Br (0.717, 0.717, 0.717)

---

# 11
Crystalline Pr2TmThP4 at its relaxed geometry. Source: the Alexandria database, functional PBE-GGA.

* energy of formation: -1204 kJ/mol of formula units

a b c (Å): 7.125 4.132 7.169
angles (deg): 90.00 109.42 90.00
Fractional coordinates of all 8 atoms:
Pr (0.000, 0.000, 0.000)
Pr (0.500, 0.500, 0.000)
Tm (0.000, 0.500, 0.500)
Th (0.500, 0.000, 0.500)
P (0.242, 0.000, 0.737)
P (0.249, 0.500, 0.260)
P (0.751, 0.500, 0.740)
P (0.758, 0.000, 0.263)

---

# 12
Crystalline Ba4Ag3Hg at its relaxed geometry. Source: the Alexandria database, functional PBE-GGA.

* energy of formation: -250 kJ/mol of formula units

a b c (Å): 4.685 5.093 12.699
angles (deg): 90.00 90.00 90.00
Fractional coordinates of all 8 atoms:
Ba (0.000, 0.000, 0.000)
Ba (0.000, 0.500, 0.273)
Ba (0.500, 0.000, 0.495)
Ba (0.500, 0.500, 0.776)
Ag (0.000, 0.500, 0.565)
Ag (0.500, 0.000, 0.202)
Ag (0.500, 0.500, 0.070)
Hg (0.000, 0.000, 0.706)

---

# 13
Crystalline PrLuHgPd at its relaxed geometry. Source: the Alexandria database, functional PBE-GGA.

* energy of formation: -226 kJ/mol of formula units

a b c (Å): 5.176 5.176 5.176
angles (deg): 60.00 60.00 60.00
Fractional coordinates of all 4 atoms:
Pr (0.000, 0.000, 0.000)
Lu (0.500, 0.500, 0.500)
Hg (0.250, 0.250, 0.250)
Pd (0.750, 0.750, 0.750)